(1)
## TbErPu4 (PBE-GGA)

Data for crystalline TbErPu4 at its relaxed geometry.

Properties
Electronic total energy ... -10.8576 eV/atom
Volume ... 165 Å³/cell
Mass density ... 13.1 Mg/m³
Symmetry ... No. 216
Calculated formation energy ... 0.23 eV/atom

abc: 6.152 6.152 6.152
angles: 60.00 60.00 60.00
Sites, in units of the cell vectors:
1 Tb 0.000 0.000 0.000
2 Er 0.750 0.750 0.750
3 Pu 0.375 0.375 0.375
4 Pu 0.375 0.375 0.875
5 Pu 0.375 0.875 0.375
6 Pu 0.875 0.375 0.375

---

(2)
## Tb5Er4Pu (PBE-GGA)

Data for crystalline Tb5Er4Pu at its relaxed geometry.

Properties
Electronic total energy ... -5.3152 eV/atom
Volume ... 316 Å³/cell
Mass density ... 9.0 Mg/m³
Symmetry ... No. 107
Calculated formation energy ... 0.26 eV/atom

abc: 8.102 8.102 8.102
angles: 96.44 96.44 140.86
Sites, in units of the cell vectors:
1 Tb 0.000 0.000 0.000
2 Tb 0.317 0.317 0.631
3 Tb 0.317 0.686 0.000
4 Tb 0.686 0.317 0.000
5 Tb 0.686 0.686 0.369
6 Er 0.001 0.329 0.328
7 Er 0.001 0.673 0.672
8 Er 0.329 0.001 0.328
9 Er 0.673 0.001 0.672
10 Pu 0.500 0.500 0.000

---

(3)
## Tb4Er3Pu (PBE-GGA)

Data for crystalline Tb4Er3Pu at its relaxed geometry.

Properties
Electronic total energy ... -5.6662 eV/atom
Volume ... 249 Å³/cell
Mass density ... 9.2 Mg/m³
Symmetry ... No. 71
Calculated formation energy ... 0.15 eV/atom

abc: 8.729 8.729 8.729
angles: 157.45 97.72 86.68
Sites, in units of the cell vectors:
1 Tb 0.116 0.869 0.248
2 Tb 0.379 0.131 0.248
3 Tb 0.621 0.869 0.752
4 Tb 0.884 0.131 0.752
5 Er 0.237 0.737 0.500
6 Er 0.500 0.500 0.000
7 Er 0.763 0.263 0.500
8 Pu 0.000 0.000 0.000

---

(4)
## Tb8Er6Pu (PBE-GGA)

Data for crystalline Tb8Er6Pu at its relaxed geometry.

Properties
Electronic total energy ... -4.9813 eV/atom
Volume ... 490 Å³/cell
Mass density ... 8.5 Mg/m³
Symmetry ... No. 147
Calculated formation energy ... 0.27 eV/atom

abc: 9.233 9.233 6.643
angles: 90.00 90.00 120.00
Sites, in units of the cell vectors:
1 Tb 0.016 0.691 0.388
2 Tb 0.309 0.326 0.388
3 Tb 0.326 0.016 0.612
4 Tb 0.333 0.667 0.684
5 Tb 0.667 0.333 0.316
6 Tb 0.674 0.984 0.388
7 Tb 0.691 0.674 0.612
8 Tb 0.984 0.309 0.612
9 Er 0.077 0.400 0.105
10 Er 0.324 0.923 0.105
11 Er 0.400 0.324 0.895
12 Er 0.600 0.676 0.105
13 Er 0.676 0.077 0.895
14 Er 0.923 0.600 0.895
15 Pu 0.000 0.000 0.000

---

(5)
## TbEr14Pu (PBE-GGA)

Data for crystalline TbEr14Pu at its relaxed geometry.

Properties
Electronic total energy ... -5.1398 eV/atom
Volume ... 485 Å³/cell
Mass density ... 9.4 Mg/m³
Symmetry ... No. 123
Calculated formation energy ... 0.04 eV/atom

abc: 7.004 7.004 9.876
angles: 90.00 90.00 90.00
Sites, in units of the cell vectors:
1 Tb 0.000 0.000 0.000
2 Er 0.000 0.000 0.500
3 Er 0.000 0.500 0.000
4 Er 0.000 0.500 0.500
5 Er 0.252 0.252 0.249
6 Er 0.252 0.252 0.751
7 Er 0.252 0.748 0.249
8 Er 0.252 0.748 0.751
9 Er 0.500 0.000 0.000
10 Er 0.500 0.000 0.500
11 Er 0.500 0.500 0.500
12 Er 0.748 0.252 0.249
13 Er 0.748 0.252 0.751
14 Er 0.748 0.748 0.249
15 Er 0.748 0.748 0.751
16 Pu 0.500 0.500 0.000

---

(6)
## Tb3Er2Pu (PBE-GGA)

Data for crystalline Tb3Er2Pu at its relaxed geometry.

Properties
Electronic total energy ... -5.9239 eV/atom
Volume ... 369 Å³/cell
Mass density ... 9.5 Mg/m³
Symmetry ... No. 15
Calculated formation energy ... 0.30 eV/atom

abc: 8.157 8.157 5.551
angles: 90.19 90.19 90.34
Sites, in units of the cell vectors:
1 Tb 0.026 0.974 0.750
2 Tb 0.153 0.355 0.979
3 Tb 0.355 0.153 0.479
4 Tb 0.645 0.847 0.521
5 Tb 0.847 0.645 0.021
6 Tb 0.974 0.026 0.250
7 Er 0.155 0.643 0.481
8 Er 0.357 0.845 0.019
9 Er 0.643 0.155 0.981
10 Er 0.845 0.357 0.519
11 Pu 0.500 0.500 0.000
12 Pu 0.500 0.500 0.500

---

(7)
## TbErPu (PBE-GGA)

Data for crystalline TbErPu at its relaxed geometry.

Properties
Electronic total energy ... -7.7343 eV/atom
Volume ... 90 Å³/cell
Mass density ... 10.5 Mg/m³
Symmetry ... No. 107
Calculated formation energy ... 0.11 eV/atom

abc: 7.780 7.780 7.780
angles: 154.08 154.08 36.99
Sites, in units of the cell vectors:
1 Tb 0.000 0.000 0.000
2 Er 0.328 0.328 0.000
3 Pu 0.665 0.665 0.000

---

(8)
## TbEr2Pu (PBE-GGA)

Data for crystalline TbEr2Pu at its relaxed geometry.

Properties
Electronic total energy ... -6.9320 eV/atom
Volume ... 121 Å³/cell
Mass density ... 10.1 Mg/m³
Symmetry ... No. 160
Calculated formation energy ... 0.09 eV/atom

abc: 11.477 11.477 11.477
angles: 17.62 17.62 17.62
Sites, in units of the cell vectors:
1 Tb 0.000 0.000 0.000
2 Er 0.249 0.249 0.249
3 Er 0.418 0.418 0.418
4 Pu 0.834 0.834 0.834